Record 1
Compound: Zr6FeSn2
Source: OQMD
Functional: PBE
Structure: relaxed

Output
* calculated volume: 193.3 Å³/f.u.
* electronic total energy: -0.581 Ry/atom

Cell lengths 8.006, 8.006, 3.482 Å; angles 90.00, 90.00, 120.00 degrees
Positions (direct):
1 Sn 0.667 0.333 0.500
2 Sn 0.333 0.667 0.500
3 Zr 0.000 0.393 0.000
4 Zr 0.607 0.607 0.000
5 Zr 0.759 0.000 0.500
6 Zr 0.241 0.241 0.500
7 Zr 0.000 0.759 0.500
8 Zr 0.393 0.000 0.000
9 Fe 0.000 0.000 0.000

Record 2
Compound: NaSmHgO3
Source: OQMD
Functional: PBE
Structure: relaxed

Output
* calculated volume: 100.0 Å³/f.u.
* electronic total energy: -0.391 Ry/atom

Cell lengths 3.689, 6.331, 8.947 Å; angles 90.00, 90.00, 73.06 degrees
Positions (direct):
1 Hg 0.636 0.728 0.250
2 Hg 0.364 0.272 0.750
3 Na 0.654 0.691 0.750
4 Na 0.346 0.309 0.250
5 O 0.962 0.077 0.250
6 O 0.038 0.923 0.750
7 O 0.625 0.750 0.477
8 O 0.375 0.250 0.523
9 O 0.375 0.250 0.977
10 O 0.625 0.750 0.023
11 Sm 0.000 0.000 0.500
12 Sm 0.000 0.000 0.000

Record 3
Compound: TaAlFeAu
Source: OQMD
Functional: PBE
Structure: relaxed

Output
* calculated volume: 62.9 Å³/f.u.
* electronic total energy: -0.492 Ry/atom
* ΔE to the lowest computed polymorph: 0.174 eV per atom

Cell lengths 4.464, 4.464, 4.464 Å; angles 60.00, 60.00, 60.00 degrees
Positions (direct):
1 Ta 0.250 0.250 0.250
2 Al 0.000 0.000 0.000
3 Fe 0.750 0.750 0.750
4 Au 0.500 0.500 0.500